4
Lattice="2.9326 0.0000 0.0000 0.0000 4.2219 0.0000 0.0000 0.0000 5.4591" Properties=species:S:1:pos:R:3 comment="Al2ZnAs | Alexandria via LeMat-Bulk | meta-GGA SCAN | single point on PBEsol structure" e_form_ev_per_atom=0.1020 space_group="No. 25" pbc="T T T"
Al 0.0000 0.0000 0.0000
Al 1.4663 2.1110 1.8223
Zn 1.4663 2.1110 4.6566
As 0.0000 0.0000 2.6864